[1]
First-principles (PBE) data for an optimized crystal structure of NbHgRh, as listed in the Alexandria database.

ΔE to the lowest computed polymorph = 20 meV/atom
DOS at the Fermi energy = 9.88 states/eV per cell
calculated formation energy = -0.0501 eV per atom
SG = Cm
final energy = -71.493 eV per cell
ρ = 12.307 g cm⁻³
total magnetic moment = 0.00 μB/f.u.

Structure (extended XYZ):
```
12
Lattice="10.990 0.000 0.000 0.000 3.016 0.000 -1.894 0.000 6.453" Properties=species:S:1:pos:R:3 pbc="T T T"
Nb 0.000 0.000 0.000
Nb -0.846 0.000 3.721
Nb 5.495 1.508 0.000
Nb 4.649 1.508 3.721
Hg 1.403 1.508 2.275
Hg 0.634 1.508 5.901
Hg 6.898 0.000 2.275
Hg 6.129 0.000 5.901
Rh 2.581 0.000 4.416
Rh 3.953 0.000 1.601
Rh 8.076 1.508 4.416
Rh 9.448 1.508 1.601
```



[2]
First-principles (PBE) data for an optimized crystal structure of Ca5Ag2Hg2, as listed in the Alexandria database.

DOS at the Fermi energy = 12.89 states/eV per cell
calculated formation energy = -0.3866 eV per atom
SG = Cmce
final energy = -39.586 eV per cell
ρ = 5.129 g cm⁻³
total magnetic moment = 0.00 μB/f.u.

Structure (extended XYZ):
```
18
Lattice="8.125 -4.025 0.000 8.125 4.025 0.000 0.000 0.000 8.092" Properties=species:S:1:pos:R:3 pbc="T T T"
Ca 0.000 0.000 0.000
Ca 5.903 2.625 5.425
Ca 5.903 1.400 1.379
Ca 10.346 2.625 5.425
Ca 10.346 1.400 1.379
Ca 8.125 0.000 4.046
Ca 5.903 -1.400 6.713
Ca 5.903 -2.625 2.667
Ca 10.346 -1.400 6.713
Ca 10.346 -2.625 2.667
Ag 8.125 3.032 3.038
Ag 8.125 0.993 7.084
Ag 8.125 -0.993 1.008
Ag 8.125 -3.032 5.054
Hg 3.364 0.000 0.000
Hg 4.761 0.000 4.046
Hg 11.489 0.000 4.046
Hg 12.885 0.000 0.000
```



[3]
First-principles (PBE) data for an optimized crystal structure of H2PbAu2, as listed in the Alexandria database.

ΔE to the lowest computed polymorph = 0 meV/atom
DOS at the Fermi energy = 1.15 states/eV per cell
SG = P-1
final energy = -16.197 eV per cell
ρ = 12.207 g cm⁻³
total magnetic moment = 0.00 μB/f.u.

Structure (extended XYZ):
```
5
Lattice="3.545 0.000 0.000 -1.751 4.019 0.000 -0.165 -2.234 5.759" Properties=species:S:1:pos:R:3 pbc="T T T"
H -0.030 0.943 0.990
H 1.658 0.842 4.769
Pb 1.690 -1.117 2.880
Au -0.116 0.653 4.861
Au 1.745 1.132 0.898
```



[4]
First-principles (PBE) data for an optimized crystal structure of SrLaBe2Se, as listed in the Alexandria database.

DOS at the Fermi energy = 4.37 states/eV per cell
SG = P4/mmm
final energy = -15.607 eV per cell
ρ = 3.425 g cm⁻³
E_form (uncorrected) = 0.388 eV/atom
total magnetic moment = 0.00 μB/f.u.

Structure (extended XYZ):
```
5
Lattice="5.249 0.000 0.000 0.000 5.249 0.000 0.000 0.000 5.693" Properties=species:S:1:pos:R:3 pbc="T T T"
Sr 0.000 0.000 0.000
La 2.625 2.625 2.846
Be 0.000 2.625 2.846
Be 2.625 0.000 2.846
Se 2.625 2.625 0.000
```



[5]
First-principles (PBE) data for an optimized crystal structure of ZrVRh2, as listed in the Alexandria database.

ΔE to the lowest computed polymorph = 90 meV/atom
DOS at the Fermi energy = 30.18 states/eV per cell
calculated formation energy = -0.4172 eV per atom
SG = Fm-3m
final energy = -136.154 eV per cell
ρ = 8.881 g cm⁻³
total magnetic moment = 2.63 μB/f.u.

Structure (extended XYZ):
```
16
Lattice="6.385 0.000 0.000 0.000 6.385 0.000 0.000 0.000 6.385" Properties=species:S:1:pos:R:3 pbc="T T T"
Zr 0.000 0.000 0.000
Zr 0.000 3.192 3.192
Zr 3.192 0.000 3.192
Zr 3.192 3.192 0.000
V 0.000 0.000 3.192
V 0.000 3.192 0.000
V 3.192 0.000 0.000
V 3.192 3.192 3.192
Rh 1.596 1.596 1.596
Rh 1.596 1.596 4.788
Rh 1.596 4.788 1.596
Rh 1.596 4.788 4.788
Rh 4.788 1.596 1.596
Rh 4.788 1.596 4.788
Rh 4.788 4.788 1.596
Rh 4.788 4.788 4.788
```



[6]
First-principles (PBE) data for an optimized crystal structure of Al2BiAu9, as listed in the Alexandria database.

DOS at the Fermi energy = 7.33 states/eV per cell
calculated formation energy = -0.1445 eV per atom
SG = I4_1/amd
final energy = -85.194 eV per cell
ρ = 14.761 g cm⁻³
total magnetic moment = 0.00 μB/f.u.

Structure (extended XYZ):
```
24
Lattice="-5.686 5.686 3.541 5.686 -5.686 3.541 5.686 5.686 -3.541" Properties=species:S:1:pos:R:3 pbc="T T T"
Al 0.000 0.000 0.000
Al 2.843 2.843 -1.770
Al 2.843 -2.843 1.770
Al 0.000 5.686 0.000
Bi 5.686 2.843 0.885
Bi 0.000 2.843 2.656
Au 4.299 -0.683 1.227
Au 7.074 -0.683 1.227
Au 5.686 -2.843 2.656
Au 2.161 1.456 0.543
Au 9.212 1.456 0.543
Au 4.299 5.004 -1.227
Au 1.387 -0.683 2.313
Au 2.161 4.231 0.543
Au 3.526 -1.456 4.084
Au 2.161 7.142 -0.543
Au 3.526 1.456 2.998
Au 4.299 6.369 1.227
Au 1.387 0.683 4.768
Au -3.526 4.231 2.998
Au 3.526 4.231 2.998
Au 0.000 8.530 0.885
Au -1.387 6.369 2.313
Au 1.387 6.369 2.313
```



[7]
First-principles (PBE) data for an optimized crystal structure of BaLaAu, as listed in the Alexandria database.

ΔE to the lowest computed polymorph = 3 meV/atom
DOS at the Fermi energy = 12.35 states/eV per cell
calculated formation energy = -0.4525 eV per atom
SG = Cmcm
final energy = -45.940 eV per cell
ρ = 7.443 g cm⁻³
total magnetic moment = 0.00 μB/f.u.

Structure (extended XYZ):
```
12
Lattice="3.970 0.000 0.000 0.000 18.248 0.000 0.000 0.000 5.829" Properties=species:S:1:pos:R:3 pbc="T T T"
Ba 0.000 1.294 1.457
Ba 0.000 16.954 4.372
Ba 1.985 7.830 4.372
Ba 1.985 10.418 1.457
La 0.000 4.107 4.372
La 0.000 14.141 1.457
La 1.985 5.017 1.457
La 1.985 13.231 4.372
Au 0.000 7.378 1.457
Au 0.000 10.870 4.372
Au 1.985 1.746 4.372
Au 1.985 16.503 1.457
```



[8]
First-principles (PBE) data for an optimized crystal structure of Er3ThMg12, as listed in the Alexandria database.

DOS at the Fermi energy = 13.21 states/eV per cell
calculated formation energy = -0.0143 eV per atom
SG = P4/mmm
final energy = -40.473 eV per cell
ρ = 4.182 g cm⁻³
total magnetic moment = 0.00 μB/f.u.

Structure (extended XYZ):
```
16
Lattice="4.626 0.000 0.000 0.000 4.626 0.000 0.000 0.000 19.030" Properties=species:S:1:pos:R:3 pbc="T T T"
Er 0.000 0.000 0.000
Er 0.000 0.000 4.719
Er 0.000 0.000 14.311
Th 0.000 0.000 9.515
Mg 0.000 2.313 2.356
Mg 0.000 2.313 7.067
Mg 0.000 2.313 11.964
Mg 0.000 2.313 16.674
Mg 2.313 0.000 2.356
Mg 2.313 0.000 7.067
Mg 2.313 0.000 11.964
Mg 2.313 0.000 16.674
Mg 2.313 2.313 0.000
Mg 2.313 2.313 4.690
Mg 2.313 2.313 9.515
Mg 2.313 2.313 14.340
```



[9]
First-principles (PBE) data for an optimized crystal structure of PuPaRu4, as listed in the Alexandria database.

ΔE to the lowest computed polymorph = 282 meV/atom
DOS at the Fermi energy = 8.85 states/eV per cell
calculated formation energy = 0.0543 eV per atom
SG = Pmmm
final energy = -60.605 eV per cell
ρ = 12.453 g cm⁻³
total magnetic moment = 2.34 μB/f.u.

Structure (extended XYZ):
```
6
Lattice="3.281 0.000 0.000 0.000 4.667 0.000 0.000 0.000 7.658" Properties=species:S:1:pos:R:3 pbc="T T T"
Pu 0.000 0.000 0.000
Pa 1.640 2.334 3.829
Ru 0.000 2.334 1.873
Ru 0.000 2.334 5.785
Ru 1.640 0.000 1.919
Ru 1.640 0.000 5.739
```



[10]
First-principles (PBE) data for an optimized crystal structure of AcHIr, as listed in the Alexandria database.

ΔE to the lowest computed polymorph = 194 meV/atom
DOS at the Fermi energy = 7.17 states/eV per cell
SG = Pbca
final energy = -139.574 eV per cell
ρ = 11.768 g cm⁻³
total magnetic moment = 0.00 μB/f.u.

Structure (extended XYZ):
```
24
Lattice="6.081 0.000 0.000 0.000 12.786 0.000 0.000 0.000 6.101" Properties=species:S:1:pos:R:3 pbc="T T T"
Ac 0.801 1.826 6.100
Ac 0.801 4.567 3.049
Ac 2.239 8.219 6.100
Ac 2.239 10.960 3.049
Ac 3.842 1.826 3.052
Ac 3.842 4.567 0.002
Ac 5.279 8.219 3.052
Ac 5.279 10.960 0.002
H 0.021 6.403 1.028
H 0.021 12.777 4.079
H 3.019 0.009 1.028
H 3.019 6.384 4.079
H 3.062 6.403 2.023
H 3.062 12.777 5.073
H 6.060 0.009 2.023
H 6.060 6.384 5.073
Ir 0.700 1.305 3.049
Ir 0.700 5.088 6.100
Ir 2.340 7.698 3.049
Ir 2.340 11.482 6.100
Ir 3.740 1.305 0.001
Ir 3.740 5.088 3.052
Ir 5.381 7.698 0.001
Ir 5.381 11.482 3.052
```



[11]
First-principles (PBE) data for an optimized crystal structure of LiP2Os, as listed in the Alexandria database.

ΔE to the lowest computed polymorph = 3 meV/atom
DOS at the Fermi energy = 5.00 states/eV per cell
calculated formation energy = -0.2389 eV per atom
SG = Fm-3m
final energy = -99.675 eV per cell
ρ = 8.427 g cm⁻³
total magnetic moment = 0.00 μB/f.u.

Structure (extended XYZ):
```
16
Lattice="5.889 0.000 0.000 0.000 5.889 0.000 0.000 0.000 5.889" Properties=species:S:1:pos:R:3 pbc="T T T"
Li 0.000 0.000 0.000
Li 0.000 2.945 2.945
Li 2.945 0.000 2.945
Li 2.945 2.945 0.000
P 1.472 1.472 1.472
P 1.472 1.472 4.417
P 1.472 4.417 1.472
P 1.472 4.417 4.417
P 4.417 1.472 1.472
P 4.417 1.472 4.417
P 4.417 4.417 1.472
P 4.417 4.417 4.417
Os 0.000 0.000 2.945
Os 0.000 2.945 0.000
Os 2.945 0.000 0.000
Os 2.945 2.945 2.945
```



[12]
First-principles (PBE) data for an optimized crystal structure of MnHgTe2, as listed in the Alexandria database.

DOS at the Fermi energy = 3.07 states/eV per cell
SG = C2/m
final energy = -32.711 eV per cell
ρ = 7.166 g cm⁻³
E_form (uncorrected) = -0.150 eV/atom
total magnetic moment = 2.86 μB/f.u.

Structure (extended XYZ):
```
8
Lattice="6.508 0.000 0.000 0.000 3.759 0.000 -2.183 0.000 9.674" Properties=species:S:1:pos:R:3 pbc="T T T"
Mn 0.000 0.000 0.000
Mn 3.254 1.880 0.000
Hg -1.091 1.880 4.837
Hg 2.163 0.000 4.837
Te 1.085 1.880 1.569
Te -0.014 0.000 8.105
Te 4.339 0.000 1.569
Te 3.241 1.880 8.105
```